VASP calculation (GGA-PBE) on an optimized crystal structure of ReTe2Rh.

## Properties
**Uncorrected formation energy**: 0.419 eV per atom
**Crystal system**: tetragonal
**Energy above the most stable polymorph in this dataset**: 241 meV per atom
**Space group**: No. 123

a b c (Å): 3.350 3.350 6.644
angles (deg): 89.99 90.00 90.00
Atoms (fractional coordinates):
Te1 0.000 0.500 0.749
Te2 0.000 0.500 0.251
Rh1 0.500 0.000 0.000
Re1 0.500 0.000 0.500

VASP calculation (GGA-PBE) on an optimized crystal structure of YHgRh2.

## Properties
**Crystal system**: tetragonal
**Formation energy**: -523 meV/atom
**Space group**: No. 123

a b c (Å): 4.389 4.389 3.791
angles (deg): 90.00 90.00 90.00
Atoms (fractional coordinates):
Y1 0.500 0.000 0.500
Hg1 0.000 0.500 0.500
Rh1 0.500 0.500 0.000
Rh2 0.000 0.000 0.000

VASP calculation (GGA-PBE) on an optimized crystal structure of Tb7NdY4.

## Properties
**Crystal system**: monoclinic
**Energy above the most stable polymorph in this dataset**: 265 meV per atom
**Formation energy**: 263 meV/atom
**Space group**: No. 12

a b c (Å): 5.923 11.597 6.720
angles (deg): 83.45 63.85 75.20
Atoms (fractional coordinates):
Tb1 0.939 0.327 0.796
Tb2 0.368 0.502 0.762
Tb3 0.790 0.922 0.498
Tb4 0.210 0.078 0.502
Tb5 0.632 0.498 0.238
Tb6 0.061 0.673 0.204
Tb7 0.500 0.000 0.000
Y1 0.633 0.225 0.509
Y2 0.247 0.318 0.187
Y3 0.753 0.682 0.813
Y4 0.367 0.775 0.491
Nd1 0.000 0.000 0.000

VASP calculation (GGA-PBE) on an optimized crystal structure of LaMg2TaN4.

## Properties
**Uncorrected formation energy**: -1.167 eV per atom
**Crystal system**: orthorhombic
**Space group**: No. 31

a b c (Å): 5.505 5.995 7.416
angles (deg): 90.00 90.00 90.00
Atoms (fractional coordinates):
Ta1 0.498 0.807 0.500
Ta2 0.998 0.193 0.000
Mg1 0.493 0.332 0.251
Mg2 0.493 0.332 0.749
Mg3 0.993 0.668 0.751
Mg4 0.993 0.668 0.249
N1 0.940 0.866 0.000
N2 0.373 0.662 0.283
N3 0.440 0.134 0.500
N4 0.352 0.211 0.000
N5 0.873 0.338 0.783
N6 0.852 0.789 0.500
N7 0.373 0.662 0.717
N8 0.873 0.338 0.217
La1 0.478 0.824 0.000
La2 0.978 0.176 0.500